No. 1
{
  "formula": "Rb4Np3CoSe8",
  "functional": "GGA-PBE",
  "state": "optimized geometry",
  "m_tot_mub_per_cell": 12.9,
  "raw_formation_energy_ev_per_atom": -1.017,
  "cell": [[4.203, 2.427, 7.941], [-4.203, 2.427, 7.941], [0.000, -4.853, 7.941]],
  "species": ["Rb", "Rb", "Rb", "Rb", "Np", "Np", "Np", "Co", "Se", "Se", "Se", "Se", "Se", "Se", "Se", "Se"],
  "fractional_positions": [[0.000, 0.000, 0.000], [0.000, 0.500, 0.500], [0.500, 0.000, 0.500], [0.500, 0.500, 0.000], [0.000, 0.000, 0.500], [0.000, 0.500, 0.000], [0.500, 0.000, 0.000], [0.500, 0.500, 0.500], [0.233, 0.233, 0.233], [0.239, 0.723, 0.723], [0.277, 0.277, 0.761], [0.277, 0.761, 0.277], [0.723, 0.239, 0.723], [0.723, 0.723, 0.239], [0.761, 0.277, 0.277], [0.767, 0.767, 0.767]]
}



No. 2
{
  "formula": "Mg2TaSi",
  "functional": "GGA-PBE",
  "state": "optimized geometry",
  "m_tot_mub_per_cell": 0.0,
  "raw_formation_energy_ev_per_atom": 0.067,
  "cell": [[5.076, -1.464, 0.000], [5.076, 1.464, 0.000], [-2.303, 0.000, 4.827]],
  "species": ["Mg", "Mg", "Ta", "Si"],
  "fractional_positions": [[0.000, 0.000, 0.000], [0.233, 0.233, 0.872], [0.468, 0.468, 0.458], [0.733, 0.733, 0.427]]
}



Question: What is the formula in the first record?
Answer: Rb4Np3CoSe8



Question: What is the formula in the first record?
Answer: Rb4Np3CoSe8